Density functional theory data (PBE-GGA) for Ca2ScB2Rh5 after structural relaxation.

Summary:
* space group: P4/mbm, No. 127

POSCAR file:
```
Ca2ScB2Rh5
1.0
3.0456 0.0000 0.0000
0.0000 9.9136 0.0000
0.0000 0.0000 9.9136
B Rh Ca Sc
4 10 4 2
Cartesian
0.0000 6.1568 8.7135
0.0000 3.7568 1.2000
0.0000 1.2000 6.1568
0.0000 8.7135 3.7568
1.5228 7.6646 9.2282
1.5228 4.9568 0.0000
1.5228 7.2058 4.2714
1.5228 0.6854 7.6646
1.5228 0.0000 4.9568
1.5228 9.2282 2.2490
1.5228 4.2714 2.7078
1.5228 2.2490 0.6854
1.5228 2.7078 5.6422
1.5228 5.6422 7.2058
0.0000 3.1956 8.1524
0.0000 1.7612 3.1956
0.0000 8.1524 6.7180
0.0000 6.7180 1.7612
0.0000 4.9568 4.9568
0.0000 0.0000 0.0000
```


Density functional theory data (PBE-GGA) for Pr2Zn2Cu15 after structural relaxation.

Summary:
* space group: R-3m, No. 166

POSCAR file:
```
Pr2Zn2Cu15
1.0
-4.1153 4.8460 -1.6498
-5.2735 -3.7484 -1.1316
-2.8106 0.7340 5.8909
Cu Pr Zn
15 2 2
Cartesian
-1.4053 0.3670 2.9455
-2.0576 2.4230 -0.8249
-5.9284 -1.2376 2.8692
-6.2710 3.0692 0.2403
-3.5375 -0.5889 3.8184
-5.6144 1.0000 4.0351
-3.1956 1.9476 3.6654
-6.5850 0.8317 -0.9255
-6.8539 -1.2557 0.5011
-4.4571 2.3095 -1.4968
-5.3455 3.0873 2.6084
-2.6368 -1.8742 -0.5658
-4.5466 -2.4255 0.9410
-4.9317 -1.2119 -1.2845
-3.7302 3.6324 0.5757
-7.9552 1.1944 2.0277
-4.2442 0.6372 1.0818
-10.9702 1.6471 2.7962
-1.2292 0.1846 0.3133
```


Density functional theory data (PBE-GGA) for K2NpF6 after structural relaxation.

Summary:
* space group: P2_1/c, No. 14

POSCAR file:
```
K2NpF6
1.0
6.5301 0.0000 -0.8255
0.0000 8.0004 0.0000
-2.1026 0.0000 7.2146
F Np K
12 2 4
Cartesian
4.1805 3.7879 1.5444
0.6389 6.7528 3.0141
4.5632 7.7881 0.8247
2.8527 5.2478 6.2087
-0.1358 0.2123 5.5645
0.2469 4.2125 4.8447
2.0368 5.5964 0.3743
4.2505 6.4041 3.5689
3.7885 1.2476 3.3750
1.5748 2.7526 0.1804
0.1770 1.5963 2.8203
2.3907 2.4039 6.0148
3.2650 4.0002 -0.4127
-1.0513 0.0000 3.6073
2.5144 7.7871 5.3365
0.3007 4.2134 2.1419
4.1267 3.7870 4.2473
1.9130 0.2132 1.0527
```


Density functional theory data (PBE-GGA) for SmSc2Zn after structural relaxation.

Summary:
* space group: P4/mmm, No. 123
* energy relative to the lowest polymorph listed for this composition: 10.0 kJ/mol of atoms

POSCAR file:
```
SmSc2Zn
1.0
-1.6197 1.4611 4.0667
-3.7490 -2.4605 -0.6091
1.9754 -3.5175 2.0505
Sc Zn Sm
2 1 1
Cartesian
0.9877 -1.7587 1.0253
-1.8745 -1.2303 -0.3046
-0.8098 0.7305 2.0333
-1.6966 -2.2585 2.7540
```


Q: Which VASP energy values were calculated for the entries above? A: -0.245 -0.147 -0.227 -0.173, in Ha/atom.